# PBE-GGA Pr5Nd5Sb6, relaxed
data_Pr5Nd5Sb6
_space_group_name_H-M_alt 'A m m 2'
_space_group_IT_number 38
_space_group_name_Hall 'A 2 -2'
_cell_length_a 6.5503
_cell_length_b 16.2827
_cell_length_c 9.3832
_cell_angle_alpha 90.00
_cell_angle_beta 90.00
_cell_angle_gamma 90.00
loop_
_atom_site_label
_atom_site_fract_x
_atom_site_fract_y
_atom_site_fract_z
_atom_site_occupancy
Pr1 0.0000 0.0000 0.0000 1
Pr2 0.2500 0.1665 0.2500 1
Nd1 0.0000 0.1256 0.6247 1
Nd2 0.5000 0.0000 0.5001 1
Nd3 0.5000 0.1257 0.8758 1
Sb1 0.0000 0.0000 0.3664 1
Sb2 0.0000 0.1930 0.9422 1
Sb3 0.5000 0.0000 0.1349 1
Sb4 0.5000 0.1922 0.5579 1
# Raw formation energy: -0.967 eV per atom
# Calculated total energy: -5.496 eV/atom